# 1
Compound: KSrHf2Mg
Source: Alexandria
Functional: PBE-GGA
Structure: relaxed

Cell and atoms, written as POSCAR:
```
KSrHf2Mg
1.0
-4.366 -1.223 2.757
-0.125 -4.976 -2.404
3.014 -1.961 3.902
Sr K Hf Mg
1 1 2 1
direct
0.500 0.500 0.500
0.000 0.000 0.000
0.000 0.000 0.500
0.500 0.000 0.000
0.000 0.500 0.000
```

V, Å³/cell: 155.64
Density of states at the Fermi level, states/eV per cell: 8.19
Calculated total energy, eV per atom: -3.235

---

# 2
Compound: KHf2MgTc
Source: Alexandria
Functional: PBE-GGA
Structure: relaxed

Cell and atoms, written as POSCAR:
```
KHf2MgTc
1.0
-3.764 -0.117 3.667
2.192 -4.284 2.114
2.639 2.730 2.796
Mg K Hf Tc
1 1 2 1
direct
0.000 0.000 0.000
0.500 0.500 0.500
0.000 0.500 0.000
0.500 0.000 0.000
0.000 0.000 0.500
```

V, Å³/cell: 130.27
Density of states at the Fermi level, states/eV per cell: 10.06
Calculated total energy, eV per atom: -4.920

---

# 3
Compound: K3HfMg2Te6
Source: Alexandria
Functional: PBE-GGA
Structure: relaxed

Cell and atoms, written as POSCAR:
```
K3HfMg2Te6
1.0
7.421 -0.003 0.000
-3.711 6.426 0.000
-1.237 -2.142 8.326
K Hf Mg Te
3 1 2 6
direct
0.169 0.831 0.500
0.831 0.169 0.500
0.500 0.500 0.500
0.000 0.000 0.000
0.334 0.666 0.000
0.666 0.334 0.000
0.934 0.609 0.802
0.741 0.741 0.198
0.066 0.391 0.198
0.609 0.934 0.802
0.259 0.259 0.802
0.391 0.066 0.198
```

V, Å³/cell: 396.90
Uncorrected formation energy, meV per atom: -883
Density of states at the Fermi level, states/eV per cell: 5.62

---

# 4
Compound: KHfMg2Tl
Source: Alexandria
Functional: PBE-GGA
Structure: relaxed

Cell and atoms, written as POSCAR:
```
KHfMg2Tl
1.0
5.875 0.000 0.000
0.000 5.569 0.000
0.000 0.000 5.875
Mg Tl Hf K
2 1 1 1
direct
0.000 0.000 0.500
0.500 0.000 0.000
0.000 0.500 0.000
0.000 0.000 0.000
0.500 0.500 0.500
```

V, Å³/cell: 192.24
Density of states at the Fermi level, states/eV per cell: 6.25
Calculated total energy, eV per atom: -2.689

---

# 5
Compound: K2HfMgTl
Source: Alexandria
Functional: PBE-GGA
Structure: relaxed

Cell and atoms, written as POSCAR:
```
K2HfMgTl
1.0
6.279 0.000 0.000
0.000 5.307 0.000
0.000 0.000 6.279
Mg Tl Hf K
1 1 1 2
direct
0.000 0.000 0.000
0.000 0.500 0.000
0.500 0.500 0.500
0.000 0.000 0.500
0.500 0.000 0.000
```

V, Å³/cell: 209.25
Density of states at the Fermi level, states/eV per cell: 8.86
Calculated total energy, eV per atom: -2.055

---

# 6
Compound: K2HfMgW
Source: Alexandria
Functional: PBE-GGA
Structure: relaxed

Cell and atoms, written as POSCAR:
```
K2HfMgW
1.0
-5.503 1.647 0.437
-1.641 -5.498 0.056
0.435 -0.072 5.744
K Hf Mg W
2 1 1 1
direct
0.000 0.000 0.500
0.500 0.000 0.000
0.000 0.500 0.000
0.000 0.000 0.000
0.500 0.500 0.500
```

V, Å³/cell: 190.46
Density of states at the Fermi level, states/eV per cell: 6.68
Calculated total energy, eV per atom: -3.110

---

# 7
Compound: KHfMn3
Source: Alexandria
Functional: PBE-GGA
Structure: relaxed

Cell and atoms, written as POSCAR:
```
KHfMn3
1.0
5.139 0.000 0.000
0.000 5.139 0.000
0.000 0.000 5.139
K Mn Hf
1 3 1
direct
0.500 0.500 0.500
0.000 0.500 0.000
0.000 0.000 0.500
0.500 0.000 0.000
0.000 0.000 0.000
```

V, Å³/cell: 135.75
Density of states at the Fermi level, states/eV per cell: 6.62
Calculated total energy, eV per atom: -6.485

---

# 8
Compound: KHfMn2
Source: Alexandria
Functional: PBE-GGA
Structure: relaxed

Cell and atoms, written as POSCAR:
```
KHfMn2
1.0
-3.779 -2.145 2.933
3.530 -1.167 3.696
-1.584 6.220 7.195
K Mn Hf
2 4 2
direct
0.500 0.500 0.000
0.250 0.750 0.500
0.875 0.125 0.250
0.875 0.625 0.250
0.375 0.125 0.750
0.875 0.125 0.750
0.000 0.000 0.000
0.750 0.250 0.500
```

V, Å³/cell: 244.64
Density of states at the Fermi level, states/eV per cell: 7.71
Calculated total energy, eV per atom: -6.071

---

What is the formula in the eighth record?
KHfMn2